1.
# KMn2Cr2O10, relaxed, DFT GGA-PBEsol
# formation energy (no corrections)	-1.690	eV per atom
data_KMn2Cr2O10
_chemical_formula_sum 'K2 Mn4 Cr4 O20'
_cell_length_a 9.224
_cell_length_b 5.714
_cell_length_c 8.183
_cell_angle_alpha 90.00
_cell_angle_beta 110.65
_cell_angle_gamma 90.00
_space_group_name_H-M_alt 'C 1 2/m 1'
_space_group_IT_number 12
loop_
_space_group_symop_operation_xyz
'x,y,z'
'-x,-y,-z'
'-x,y,-z'
'x,-y,z'
'x+1/2,y+1/2,z'
'-x+1/2,-y+1/2,-z'
'-x+1/2,y+1/2,-z'
'x+1/2,-y+1/2,z'
loop_
_atom_site_label
_atom_site_fract_x
_atom_site_fract_y
_atom_site_fract_z
_atom_site_occupancy
K1 0.000 0.000 0.000 1
Mn1 0.250 0.250 0.500 1
Cr1 0.059 0.500 0.749 1
O1 0.056 0.267 0.297 1
O2 0.166 0.500 0.951 1
O3 0.174 0.500 0.619 1
O4 0.179 0.000 0.584 1

---

2.
# KCrN2, relaxed, DFT GGA-PBEsol
# formation energy (no corrections)	-0.574	eV per atom
data_KCrN2
_chemical_formula_sum 'K16 Cr16 N32'
_cell_length_a 5.649
_cell_length_b 11.341
_cell_length_c 15.377
_cell_angle_alpha 90.00
_cell_angle_beta 90.00
_cell_angle_gamma 90.00
_space_group_name_H-M_alt 'P b c a'
_space_group_IT_number 61
loop_
_space_group_symop_operation_xyz
'x,y,z'
'-x,-y,-z'
'-x+1/2,-y,z+1/2'
'x+1/2,y,-z+1/2'
'x+1/2,-y+1/2,-z'
'-x+1/2,y+1/2,z'
'-x,y+1/2,-z+1/2'
'x,-y+1/2,z+1/2'
loop_
_atom_site_label
_atom_site_fract_x
_atom_site_fract_y
_atom_site_fract_z
_atom_site_occupancy
K1 0.136 0.250 0.194 1
K2 0.249 0.000 0.067 1
Cr1 0.178 0.250 0.443 1
Cr2 0.249 0.000 0.316 1
N1 0.002 0.000 0.749 1
N2 0.128 0.750 0.032 1
N3 0.239 0.126 0.881 1
N4 0.240 0.124 0.382 1

---

3.
# KCrN2, relaxed, DFT GGA-PBEsol
# formation energy (no corrections)	-0.566	eV per atom
data_KCrN2
_chemical_formula_sum 'K4 Cr4 N8'
_cell_length_a 5.561
_cell_length_b 5.561
_cell_length_c 8.014
_cell_angle_alpha 90.00
_cell_angle_beta 90.00
_cell_angle_gamma 90.00
_space_group_name_H-M_alt 'I -4 2 d'
_space_group_IT_number 122
_space_group_name_Hall 'I -4 2bw'
loop_
_atom_site_label
_atom_site_fract_x
_atom_site_fract_y
_atom_site_fract_z
_atom_site_occupancy
K1 0.000 0.000 0.000 1
Cr1 0.000 0.000 0.500 1
N1 0.057 0.750 0.625 1

---

4.
# K3CrN, relaxed, DFT GGA-PBEsol
# formation energy (no corrections)	1.660	eV per atom
data_K3CrN
_chemical_formula_sum 'K3 Cr1 N1'
_cell_length_a 6.576
_cell_length_b 6.576
_cell_length_c 6.576
_cell_angle_alpha 90.00
_cell_angle_beta 90.00
_cell_angle_gamma 90.00
_space_group_name_H-M_alt 'P m -3 m'
_space_group_IT_number 221
_space_group_name_Hall '-P 4 2 3'
loop_
_atom_site_label
_atom_site_fract_x
_atom_site_fract_y
_atom_site_fract_z
_atom_site_occupancy
K1 0.000 0.000 0.500 1
Cr1 0.000 0.000 0.000 1
N1 0.500 0.500 0.500 1

---

5.
# KCr2NO, relaxed, DFT GGA-PBEsol
# formation energy (no corrections)	0.158	eV per atom
data_KCr2NO
_chemical_formula_sum 'K1 Cr2 N1 O1'
_cell_length_a 3.808
_cell_length_b 3.808
_cell_length_c 5.337
_cell_angle_alpha 90.00
_cell_angle_beta 90.00
_cell_angle_gamma 90.00
_space_group_name_H-M_alt 'P 4/m m m'
_space_group_IT_number 123
_space_group_name_Hall '-P 4 2'
loop_
_atom_site_label
_atom_site_fract_x
_atom_site_fract_y
_atom_site_fract_z
_atom_site_occupancy
K1 0.000 0.000 0.000 1
Cr1 0.000 0.500 0.500 1
N1 0.000 0.000 0.500 1
O1 0.500 0.500 0.000 1

---

6.
# KNaCr3, relaxed, DFT GGA-PBEsol
# ΔH_f (0 K)	11.5	eV per formula unit
data_KNaCr3
_chemical_formula_sum 'K1 Na1 Cr3'
_cell_length_a 5.684
_cell_length_b 5.684
_cell_length_c 5.684
_cell_angle_alpha 90.00
_cell_angle_beta 90.00
_cell_angle_gamma 90.00
_space_group_name_H-M_alt 'P m -3 m'
_space_group_IT_number 221
_space_group_name_Hall '-P 4 2 3'
loop_
_atom_site_label
_atom_site_fract_x
_atom_site_fract_y
_atom_site_fract_z
_atom_site_occupancy
K1 0.000 0.000 0.000 1
Na1 0.500 0.500 0.500 1
Cr1 0.000 0.000 0.500 1

---

7.
# KNa2Cr, relaxed, DFT GGA-PBEsol
# ΔH_f (0 K)	2.8	eV per formula unit
data_KNa2Cr
_chemical_formula_sum 'K4 Na8 Cr4'
_cell_length_a 8.139
_cell_length_b 8.139
_cell_length_c 8.139
_cell_angle_alpha 90.00
_cell_angle_beta 90.00
_cell_angle_gamma 90.00
_space_group_name_H-M_alt 'F m -3 m'
_space_group_IT_number 225
_space_group_name_Hall '-F 4 2 3'
loop_
_atom_site_label
_atom_site_fract_x
_atom_site_fract_y
_atom_site_fract_z
_atom_site_occupancy
K1 0.000 0.000 0.000 1
Na1 0.250 0.250 0.250 1
Cr1 0.000 0.000 0.500 1

---

8.
# KCr2Ni, relaxed, DFT GGA-PBEsol
# ΔH_f (0 K)	6.3	eV per formula unit
data_KCr2Ni
_chemical_formula_sum 'K1 Cr2 Ni1'
_cell_length_a 4.848
_cell_length_b 4.848
_cell_length_c 3.020
_cell_angle_alpha 90.00
_cell_angle_beta 90.00
_cell_angle_gamma 90.00
_space_group_name_H-M_alt 'P 4/m m m'
_space_group_IT_number 123
_space_group_name_Hall '-P 4 2'
loop_
_atom_site_label
_atom_site_fract_x
_atom_site_fract_y
_atom_site_fract_z
_atom_site_occupancy
K1 0.000 0.000 0.000 1
Cr1 0.000 0.500 0.500 1
Ni1 0.500 0.500 0.000 1

---

9.
# KCr2Ni, relaxed, DFT GGA-PBEsol
# ΔH_f (0 K)	5.4	eV per formula unit
data_KCr2Ni
_chemical_formula_sum 'K4 Cr8 Ni4'
_cell_length_a 6.468
_cell_length_b 6.468
_cell_length_c 6.468
_cell_angle_alpha 90.00
_cell_angle_beta 90.00
_cell_angle_gamma 90.00
_space_group_name_H-M_alt 'F -4 3 m'
_space_group_IT_number 216
_space_group_name_Hall 'F -4 2 3'
loop_
_atom_site_label
_atom_site_fract_x
_atom_site_fract_y
_atom_site_fract_z
_atom_site_occupancy
K1 0.000 0.000 0.000 1
Cr1 0.000 0.000 0.500 1
Cr2 0.250 0.250 0.750 1
Ni1 0.250 0.250 0.250 1

---

10.
# K2CrNi, relaxed, DFT GGA-PBEsol
# ΔH_f (0 K)	4.8	eV per formula unit
data_K2CrNi
_chemical_formula_sum 'K8 Cr4 Ni4'
_cell_length_a 7.348
_cell_length_b 7.348
_cell_length_c 7.348
_cell_angle_alpha 90.00
_cell_angle_beta 90.00
_cell_angle_gamma 90.00
_space_group_name_H-M_alt 'F -4 3 m'
_space_group_IT_number 216
_space_group_name_Hall 'F -4 2 3'
loop_
_atom_site_label
_atom_site_fract_x
_atom_site_fract_y
_atom_site_fract_z
_atom_site_occupancy
K1 0.000 0.000 0.000 1
K2 0.250 0.250 0.250 1
Cr1 0.000 0.000 0.500 1
Ni1 0.250 0.250 0.750 1

---

11.
# K3CrNi, relaxed, DFT GGA-PBEsol
# ΔH_f (0 K)	7.1	eV per formula unit
data_K3CrNi
_chemical_formula_sum 'K3 Cr1 Ni1'
_cell_length_a 6.354
_cell_length_b 6.354
_cell_length_c 6.354
_cell_angle_alpha 90.00
_cell_angle_beta 90.00
_cell_angle_gamma 90.00
_space_group_name_H-M_alt 'P m -3 m'
_space_group_IT_number 221
_space_group_name_Hall '-P 4 2 3'
loop_
_atom_site_label
_atom_site_fract_x
_atom_site_fract_y
_atom_site_fract_z
_atom_site_occupancy
K1 0.000 0.000 0.500 1
Cr1 0.000 0.000 0.000 1
Ni1 0.500 0.500 0.500 1

---

12.
# KCrNi2, relaxed, DFT GGA-PBEsol
# ΔH_f (0 K)	2.2	eV per formula unit
data_KCrNi2
_chemical_formula_sum 'K1 Cr1 Ni2'
_cell_length_a 2.847
_cell_length_b 2.847
_cell_length_c 7.746
_cell_angle_alpha 90.00
_cell_angle_beta 90.00
_cell_angle_gamma 90.00
_space_group_name_H-M_alt 'P 4/m m m'
_space_group_IT_number 123
_space_group_name_Hall '-P 4 2'
loop_
_atom_site_label
_atom_site_fract_x
_atom_site_fract_y
_atom_site_fract_z
_atom_site_occupancy
K1 0.000 0.000 0.000 1
Cr1 0.000 0.000 0.500 1
Ni1 0.500 0.500 0.333 1

---

| no. | total magnetic moment (μB per formula unit) |
| --- | --- |
| 1 | 7.00 |
| 2 | 0.00 |
| 3 | 0.00 |
| 4 | 7.61 |
| 5 | 6.35 |
| 6 | 15.81 |
| 7 | 5.17 |
| 8 | 8.99 |
| 9 | 0.13 |
| 10 | 4.70 |
| 11 | 4.96 |
| 12 | 1.79 |